12
Lattice="5.395 0.000 0.000 -2.698 4.673 0.000 0.000 0.000 8.624" Properties=species:S:1:pos:R:3 comment="Al2Ag (GGA-PBE, relaxed)" formation_energy_mev_per_atom=168 pbc="T T T"
Ag 0.000 3.115 0.663
Ag 2.698 1.558 7.961
Ag 2.698 1.558 4.975
Ag 0.000 3.115 3.649
Al 4.012 0.799 2.156
Al 1.383 0.799 2.156
Al -1.315 3.874 6.468
Al 0.000 0.000 4.312
Al 2.698 3.075 2.156
Al 1.315 3.874 6.468
Al 0.000 0.000 0.000
Al 0.000 1.597 6.468


4
Lattice="-4.989 -1.152 -1.443 -2.544 -4.092 2.256 -4.018 0.897 3.369" Properties=species:S:1:pos:R:3 comment="AlIn2Te (GGA-PBE, relaxed)" formation_energy_uncorrected_mev_per_atom=170 de_polymorph_mev_per_atom=212 pbc="T T T"
In 0.000 0.000 0.000
In -2.888 -1.087 1.045
Te -8.664 -3.260 3.136
Al -5.776 -2.173 2.091


8
Lattice="4.089 0.000 -1.153 -0.325 4.076 -1.153 0.060 0.065 8.043" Properties=species:S:1:pos:R:3 comment="KAg2F5 (GGA-PBE, relaxed)" formation_energy_uncorrected_mev_per_atom=-1555 pbc="T T T"
K 1.882 2.038 -1.153
Ag 0.603 0.653 2.139
Ag 3.221 3.488 3.599
F 3.411 1.480 4.271
F 2.620 0.624 1.466
F 1.204 3.518 4.271
F 0.000 0.000 0.000
F 0.413 2.661 1.466


Results for magnetization: 0.000; 0.000; 0.000 (in μB per cell, following the order of the records).